# 1
Density functional theory data (GGA-PBE) for an optimized crystal structure of TaPBrO6.

Symmetry = P1
ΔE_f (raw) = -1.654 eV per atom
Raw total energy = -63.57 eV/cell

Cell lengths 5.137, 5.192, 6.186 Å; angles 83.15, 78.45, 63.11 degrees
Element x y z (fractional)
Ta  0.000  0.000  0.000
P  0.608  0.740  0.035
Br  0.249  0.342  0.600
O  0.307  0.950  0.185
O  0.390  0.712  0.869
O  0.757  0.402  0.091
O  0.778  0.861  0.833
O  0.814  0.804  0.200
O  0.994  0.195  0.669

# 2
Density functional theory data (GGA-PBE) for an optimized crystal structure of BeZn2Cd.

ΔE to the lowest computed polymorph = 146 meV per atom
Symmetry = P4/mmm
Energy relative to the elements = 0.2979 eV/atom
Raw total energy = -6.00 eV/cell

Cell lengths 3.869, 3.869, 4.048 Å; angles 90.00, 90.00, 90.00 degrees
Element x y z (fractional)
Be  0.000  0.000  0.000
Zn  0.000  0.500  0.500
Zn  0.500  0.000  0.500
Cd  0.500  0.500  0.000

# 3
Density functional theory data (GGA-PBE) for an optimized crystal structure of TiTcPtRh2.

Symmetry = P4/mmm
Energy relative to the elements = 1.3512 eV/atom
Raw total energy = -32.25 eV/cell

Cell lengths 4.817, 4.817, 4.569 Å; angles 90.00, 90.00, 90.00 degrees
Element x y z (fractional)
Ti  0.000  0.000  0.000
Tc  0.500  0.500  0.000
Pt  0.000  0.000  0.500
Rh  0.000  0.500  0.500
Rh  0.500  0.000  0.500

# 4
Density functional theory data (GGA-PBE) for an optimized crystal structure of PaAlCo2.

Symmetry = P4/mmm
Energy relative to the elements = -0.2941 eV/atom
Raw total energy = -28.63 eV/cell

Cell lengths 4.418, 4.418, 3.160 Å; angles 90.00, 90.00, 90.00 degrees
Element x y z (fractional)
Pa  0.000  0.000  0.000
Al  0.500  0.500  0.000
Co  0.000  0.500  0.500
Co  0.500  0.000  0.500

# 5
Density functional theory data (GGA-PBE) for an optimized crystal structure of Tl4NiPt.

Symmetry = F-43m
Energy relative to the elements = 0.8543 eV/atom
Raw total energy = -16.16 eV/cell

Cell lengths 6.100, 6.100, 6.100 Å; angles 60.00, 60.00, 60.00 degrees
Element x y z (fractional)
Tl  0.125  0.125  0.125
Tl  0.125  0.125  0.624
Tl  0.125  0.624  0.125
Tl  0.624  0.125  0.125
Ni  0.750  0.750  0.750
Pt  0.500  0.500  0.500

# 6
Density functional theory data (GGA-PBE) for an optimized crystal structure of Rb2TcRh.

ΔE to the lowest computed polymorph = 698 meV per atom
Symmetry = Fm-3m
Energy relative to the elements = 1.8014 eV/atom
Raw total energy = -49.79 eV/cell

Cell lengths 7.863, 7.863, 7.863 Å; angles 90.00, 90.00, 90.00 degrees
Element x y z (fractional)
Rb  0.250  0.250  0.250
Rb  0.250  0.250  0.750
Rb  0.250  0.750  0.250
Rb  0.250  0.750  0.750
Rb  0.750  0.250  0.250
Rb  0.750  0.250  0.750
Rb  0.750  0.750  0.250
Rb  0.750  0.750  0.750
Tc  0.000  0.000  0.000
Tc  0.000  0.500  0.500
Tc  0.500  0.000  0.500
Tc  0.500  0.500  0.000
Rh  0.000  0.000  0.500
Rh  0.000  0.500  0.000
Rh  0.500  0.000  0.000
Rh  0.500  0.500  0.500